# 1
9
Lattice="-4.6615 4.6615 2.9755 4.6615 -4.6615 2.9755 4.6615 4.6615 -2.9755" Properties=species:S:1:pos:R:3 comment="Nd4SmSe4 | Alexandria | PBE-GGA | optimized geometry" raw_formation_energy_ev_per_atom=-1.59 pbc="T T T"
Nd 6.5313 0.9462 0.0000
Nd 0.9462 2.7918 0.0000
Nd 3.7154 1.8698 2.9755
Nd -1.8698 3.7154 2.9755
Sm 0.0000 0.0000 2.9755
Se 3.7536 1.8716 0.0000
Se 2.7899 -0.9080 2.9755
Se 1.8716 5.5695 0.0000
Se 0.9080 2.7899 2.9755



# 2
10
Lattice="7.9380 -2.2521 0.0000 7.9380 2.2521 0.0000 -2.2813 0.0000 5.6663" Properties=species:S:1:pos:R:3 comment="CaGa3Si | Alexandria | PBE-GGA | optimized geometry" raw_formation_energy_ev_per_atom=-0.22 relative_energy_ev_per_atom=0.000 pbc="T T T"
Ca 2.1527 0.0000 0.0912
Ca 11.4420 0.0000 5.5751
Ga -0.0030 0.0000 2.2959
Ga 2.3808 0.0000 3.6138
Ga 4.8917 0.0000 1.9198
Ga 8.7030 0.0000 3.7465
Ga 11.2139 0.0000 2.0525
Ga 13.5977 0.0000 3.3704
Si 6.0014 0.0000 4.5341
Si 7.5933 0.0000 1.1322



# 3
7
Lattice="-2.1824 2.1824 7.3887 2.1824 -2.1824 7.3887 2.1824 2.1824 -7.3887" Properties=species:S:1:pos:R:3 comment="CsKNpO4 | Alexandria | PBE-GGA | optimized geometry" raw_formation_energy_ev_per_atom=-2.46 pbc="T T T"
Cs 0.0000 0.0000 0.0000
K 0.0000 0.0000 10.4281
Np 0.0000 0.0000 4.9752
O 0.0000 0.0000 3.0455
O 2.1824 0.0000 4.9496
O 0.0000 0.0000 6.9015
O 0.0000 2.1824 4.9496



# 4
4
Lattice="0.0000 3.7335 3.7698 3.7250 0.0000 3.7698 3.7250 3.7335 0.0000" Properties=species:S:1:pos:R:3 comment="K2AlNi | Alexandria | PBE-GGA | optimized geometry" formation_enthalpy_0k_mev_per_atom=655 pbc="T T T"
K 0.0000 0.0000 0.0000
K 1.8625 1.8668 1.8849
Al 3.7250 3.7335 3.7698
Ni 5.5874 5.6003 5.6547



# 5
4
Lattice="1.5206 0.8779 6.0312 -1.5206 0.8779 6.0312 0.0000 -1.7558 6.0312" Properties=species:S:1:pos:R:3 comment="LiSeN2 | Alexandria | PBE-GGA | optimized geometry" raw_formation_energy_ev_per_atom=0.81 pbc="T T T"
Li 0.0000 0.0000 0.0000
Se 0.0000 0.0000 9.0467
N 0.0000 0.0000 1.8904
N 0.0000 0.0000 16.2031



# 6
4
Lattice="0.0000 3.7460 3.7460 3.7460 0.0000 3.7460 3.7460 3.7460 0.0000" Properties=species:S:1:pos:R:3 comment="CeYTlGa | Alexandria | PBE-GGA | optimized geometry" formation_enthalpy_0k_mev_per_atom=-380 relative_energy_ev_per_atom=0.043 pbc="T T T"
Ce 0.0000 0.0000 0.0000
Y 3.7460 3.7460 3.7460
Tl 5.6190 5.6190 5.6190
Ga 1.8730 1.8730 1.8730